# 1
The following is a PBE-GGA calculation of an optimized crystal structure of ScCr2Ge2, from the Alexandria database.

Computed properties:
E_form: -0.23 eV/atom
calculated density: 6.2 g cm⁻³
E above lowest polymorph: 0 meV/atom
symmetry: I4/mmm (139)
calculated total energy: -7.191 eV per atom
size of the total moment: 1.21 μB/cell

Lattice parameters (Å, degrees): 6.1476 6.1476 6.1476 144.34 144.34 51.32
Atoms (fractional coordinates):
1 Sc 0.0000 0.0000 0.0000
2 Cr 0.2500 0.7500 0.5000
3 Cr 0.7500 0.2500 0.5000
4 Ge 0.3893 0.3893 0.0000
5 Ge 0.6107 0.6107 0.0000

# 2
The following is a PBE-GGA calculation of an optimized crystal structure of In2SnHgRh, from the Alexandria database.

Computed properties:
E_form: -0.14 eV/atom
calculated density: 7.9 g cm⁻³
symmetry: P4/mmm (123)
calculated total energy: -3.567 eV per atom
size of the total moment: 0.00 μB/cell

Lattice parameters (Å, degrees): 5.1961 5.1961 5.0809 90.00 90.00 90.00
Atoms (fractional coordinates):
1 In 0.0000 0.5000 0.0000
2 In 0.5000 0.0000 0.0000
3 Sn 0.0000 0.0000 0.5000
4 Hg 0.5000 0.5000 0.5000
5 Rh 0.0000 0.0000 0.0000

# 3
The following is a PBE-GGA calculation of an optimized crystal structure of Ca3PmDy2Te6, from the Alexandria database.

Computed properties:
calculated density: 6.1 g cm⁻³
symmetry: C2/m (12)
calculated total energy: -4.705 eV per atom
formation energy (no corrections): -1.4706 eV/atom
size of the total moment: 0.00 μB/cell

Lattice parameters (Å, degrees): 7.6358 7.6358 7.7931 99.43 99.43 119.93
Atoms (fractional coordinates):
1 Ca 0.0000 0.0000 0.0000
2 Ca 0.3359 0.6641 0.0000
3 Ca 0.6641 0.3359 0.0000
4 Pm 0.5000 0.5000 0.5000
5 Dy 0.1677 0.8323 0.5000
6 Dy 0.8323 0.1677 0.5000
7 Te 0.0777 0.4170 0.2517
8 Te 0.2423 0.2423 0.7462
9 Te 0.4170 0.0777 0.2517
10 Te 0.5830 0.9223 0.7483
11 Te 0.7577 0.7577 0.2538
12 Te 0.9223 0.5830 0.7483

# 4
The following is a PBE-GGA calculation of an optimized crystal structure of TlB2Pd, from the Alexandria database.

Computed properties:
E_form: 1.42 eV/atom
calculated density: 10.0 g cm⁻³
E above lowest polymorph: 774 meV/atom
symmetry: Fm-3m (225)
calculated total energy: -3.806 eV per atom
size of the total moment: 0.00 μB/cell

Lattice parameters (Å, degrees): 4.2795 4.2795 4.2795 60.00 60.00 60.00
Atoms (fractional coordinates):
1 Tl 0.0000 0.0000 0.0000
2 B 0.2500 0.2500 0.2500
3 B 0.7500 0.7500 0.7500
4 Pd 0.5000 0.5000 0.5000

# 5
The following is a PBE-GGA calculation of an optimized crystal structure of MgOs2Ru, from the Alexandria database.

Computed properties:
E_form: 0.34 eV/atom
calculated density: 14.4 g cm⁻³
symmetry: F-43m (216)
calculated total energy: -7.995 eV per atom
size of the total moment: 0.01 μB/cell

Lattice parameters (Å, degrees): 4.3565 4.3565 4.3565 60.00 60.00 60.00
Atoms (fractional coordinates):
1 Mg 0.0000 0.0000 0.0000
2 Os 0.2500 0.2500 0.2500
3 Os 0.5000 0.5000 0.5000
4 Ru 0.7500 0.7500 0.7500

# 6
The following is a PBE-GGA calculation of an optimized crystal structure of K4TbHo3Se8, from the Alexandria database.

Computed properties:
calculated density: 5.1 g cm⁻³
symmetry: R-3m (166)
calculated total energy: -4.927 eV per atom
formation energy (no corrections): -1.7627 eV/atom
size of the total moment: 0.00 μB/cell

Lattice parameters (Å, degrees): 9.0871 9.0871 9.0871 55.12 55.12 55.12
Atoms (fractional coordinates):
1 K 0.0000 0.0000 0.0000
2 K 0.0000 0.5000 0.5000
3 K 0.5000 0.0000 0.5000
4 K 0.5000 0.5000 0.0000
5 Tb 0.5000 0.5000 0.5000
6 Ho 0.0000 0.0000 0.5000
7 Ho 0.0000 0.5000 0.0000
8 Ho 0.5000 0.0000 0.0000
9 Se 0.2331 0.7359 0.7359
10 Se 0.2347 0.2347 0.2347
11 Se 0.2641 0.2641 0.7669
12 Se 0.2641 0.7669 0.2641
13 Se 0.7359 0.2331 0.7359
14 Se 0.7359 0.7359 0.2331
15 Se 0.7653 0.7653 0.7653
16 Se 0.7669 0.2641 0.2641

# 7
The following is a PBE-GGA calculation of an optimized crystal structure of CdPF3, from the Alexandria database.

Computed properties:
calculated density: 4.3 g cm⁻³
E above lowest polymorph: 0 meV/atom
symmetry: Pm-3m (221)
calculated total energy: -3.401 eV per atom
formation energy (no corrections): -1.0128 eV/atom
size of the total moment: 0.00 μB/cell

Lattice parameters (Å, degrees): 4.2567 4.2567 4.2567 90.00 90.00 90.00
Atoms (fractional coordinates):
1 Cd 0.0000 0.0000 0.0000
2 P 0.5000 0.5000 0.5000
3 F 0.0000 0.5000 0.5000
4 F 0.5000 0.0000 0.5000
5 F 0.5000 0.5000 0.0000

# 8
The following is a PBE-GGA calculation of an optimized crystal structure of TbHo5Er2, from the Alexandria database.

Computed properties:
E_form: 0.02 eV/atom
calculated density: 8.9 g cm⁻³
E above lowest polymorph: 0 meV/atom
symmetry: Pbam (55)
calculated total energy: -4.563 eV per atom
size of the total moment: 0.00 μB/cell

Lattice parameters (Å, degrees): 7.0323 14.0644 4.9671 90.00 90.00 90.00
Atoms (fractional coordinates):
1 Tb 0.0000 0.0000 0.0000
2 Tb 0.5000 0.5000 0.0000
3 Ho 0.0000 0.5000 0.0000
4 Ho 0.0005 0.2502 0.0000
5 Ho 0.2505 0.1252 0.5000
6 Ho 0.2495 0.6252 0.5000
7 Ho 0.4995 0.7502 0.0000
8 Ho 0.5000 0.0000 0.0000
9 Ho 0.5005 0.2498 0.0000
10 Ho 0.7505 0.3748 0.5000
11 Ho 0.7495 0.8748 0.5000
12 Ho 0.9995 0.7498 0.0000
13 Er 0.2503 0.3748 0.5000
14 Er 0.2497 0.8748 0.5000
15 Er 0.7503 0.1252 0.5000
16 Er 0.7497 0.6252 0.5000

# 9
The following is a PBE-GGA calculation of an optimized crystal structure of PuSi2Pt2, from the Alexandria database.

Computed properties:
calculated density: 13.0 g cm⁻³
symmetry: P4/nmm (129)
calculated total energy: -8.349 eV per atom
formation energy (no corrections): -0.8973 eV/atom
size of the total moment: 10.80 μB/cell

Lattice parameters (Å, degrees): 4.2269 4.2269 9.8737 90.00 90.00 90.00
Atoms (fractional coordinates):
1 Pu 0.2500 0.2500 0.2443
2 Pu 0.7500 0.7500 0.7557
3 Si 0.2500 0.2500 0.6336
4 Si 0.2500 0.7500 0.0000
5 Si 0.7500 0.2500 0.0000
6 Si 0.7500 0.7500 0.3664
7 Pt 0.2500 0.2500 0.8771
8 Pt 0.2500 0.7500 0.5000
9 Pt 0.7500 0.2500 0.5000
10 Pt 0.7500 0.7500 0.1229

# 10
The following is a PBE-GGA calculation of an optimized crystal structure of MgInRe, from the Alexandria database.

Computed properties:
E_form: 0.51 eV/atom
calculated density: 10.0 g cm⁻³
E above lowest polymorph: 92 meV/atom
symmetry: I4mm (107)
calculated total energy: -5.083 eV per atom
size of the total moment: 0.00 μB/cell

Lattice parameters (Å, degrees): 5.3156 5.3156 5.3156 142.96 142.96 53.38
Atoms (fractional coordinates):
1 Mg 0.0000 0.0000 0.0000
2 In 0.6899 0.6899 0.0000
3 Re 0.3480 0.3480 0.0000